Record 1
# ScH

An optimized crystal structure of ScH (PBE, Alexandria).

Properties
Total energy: -5.128 eV/atom

CIF file:
```
data_ScH
_chemical_formula_sum 'Sc8 H8'
_symmetry_space_group_name_H-M 'I -4 3 m'
_symmetry_Int_Tables_number 217
_symmetry_space_group_name_Hall 'I -4 2 3'
_cell_length_a 6.153
_cell_length_b 6.153
_cell_length_c 6.153
_cell_angle_alpha 90.00
_cell_angle_beta 90.00
_cell_angle_gamma 90.00
loop_
_atom_site_label
_atom_site_type_symbol
_atom_site_fract_x
_atom_site_fract_y
_atom_site_fract_z
Sc1 Sc 0.185 0.185 0.815
H1 H 0.131 0.131 0.131
```


Record 2
# Na3Hg2O4

An optimized crystal structure of Na3Hg2O4 (PBE, Alexandria).

Properties
Energy above the most stable polymorph in this dataset: 49 meV/atom
Total energy: -3.515 eV/atom
Energy relative to the elements, uncorrected: -0.805 eV/atom

CIF file:
```
data_Na3Hg2O4
_chemical_formula_sum 'Na6 Hg4 O8'
_symmetry_space_group_name_H-M 'P -1'
_symmetry_Int_Tables_number 2
_symmetry_space_group_name_Hall '-P 1'
_cell_length_a 6.448
_cell_length_b 6.463
_cell_length_c 8.183
_cell_angle_alpha 71.39
_cell_angle_beta 71.54
_cell_angle_gamma 67.47
loop_
_atom_site_label
_atom_site_type_symbol
_atom_site_fract_x
_atom_site_fract_y
_atom_site_fract_z
Na1 Na 0.182 0.095 0.310
Na2 Na 0.227 0.748 0.120
Na3 Na 0.277 0.467 0.464
Hg1 Hg 0.259 0.460 0.860
Hg2 Hg 0.300 0.969 0.699
O1 O 0.007 0.258 0.049
O2 O 0.042 0.213 0.588
O3 O 0.464 0.320 0.190
O4 O 0.486 0.748 0.296
```


Record 3
# TlTcAs2

An optimized crystal structure of TlTcAs2 (PBE, Alexandria).

Properties
Energy above the most stable polymorph in this dataset: 823 meV/atom
Energy relative to the elements: 700 meV per atom
Total energy: -4.807 eV/atom

CIF file:
```
data_TlTcAs2
_chemical_formula_sum 'Tl2 Tc2 As4'
_symmetry_space_group_name_H-M 'I -4 m 2'
_symmetry_Int_Tables_number 119
_symmetry_space_group_name_Hall 'I -4 -2'
_cell_length_a 4.172
_cell_length_b 4.172
_cell_length_c 8.931
_cell_angle_alpha 90.00
_cell_angle_beta 90.00
_cell_angle_gamma 90.00
loop_
_atom_site_label
_atom_site_type_symbol
_atom_site_fract_x
_atom_site_fract_y
_atom_site_fract_z
Tl1 Tl 0.000 0.000 0.000
Tc1 Tc 0.000 0.500 0.250
As1 As 0.000 0.000 0.500
As2 As 0.000 0.500 0.750
```


Record 4
# GaAgB3

An optimized crystal structure of GaAgB3 (PBE, Alexandria).

Properties
Energy above the most stable polymorph in this dataset: 0 meV/atom
Energy relative to the elements: 1899 meV per atom
Total energy: -3.283 eV/atom

CIF file:
```
data_GaAgB3
_chemical_formula_sum 'Ga1 Ag1 B3'
_symmetry_space_group_name_H-M 'P m -3 m'
_symmetry_Int_Tables_number 221
_symmetry_space_group_name_Hall '-P 4 2 3'
_cell_length_a 4.171
_cell_length_b 4.171
_cell_length_c 4.171
_cell_angle_alpha 90.00
_cell_angle_beta 90.00
_cell_angle_gamma 90.00
loop_
_atom_site_label
_atom_site_type_symbol
_atom_site_fract_x
_atom_site_fract_y
_atom_site_fract_z
Ga1 Ga 0.000 0.000 0.000
Ag1 Ag 0.500 0.500 0.500
B1 B 0.000 0.000 0.500
```


Record 5
# TlIn4Cl5

An optimized crystal structure of TlIn4Cl5 (PBE, Alexandria).

Properties
Total energy: -3.092 eV/atom
Energy relative to the elements, uncorrected: -0.837 eV/atom

CIF file:
```
data_TlIn4Cl5
_chemical_formula_sum 'Tl2 In8 Cl10'
_symmetry_space_group_name_H-M 'I 4/m'
_symmetry_Int_Tables_number 87
_symmetry_space_group_name_Hall '-I 4'
_cell_length_a 10.211
_cell_length_b 10.211
_cell_length_c 6.462
_cell_angle_alpha 90.00
_cell_angle_beta 90.00
_cell_angle_gamma 90.00
loop_
_atom_site_label
_atom_site_type_symbol
_atom_site_fract_x
_atom_site_fract_y
_atom_site_fract_z
Tl1 Tl 0.000 0.000 0.000
In1 In 0.100 0.300 0.500
Cl1 Cl 0.000 0.000 0.500
Cl2 Cl 0.099 0.303 0.000
```


Record 6
# GdThCuTc

An optimized crystal structure of GdThCuTc (PBE, Alexandria).

Properties
Energy relative to the elements: -100 meV per atom
Total energy: -9.090 eV/atom

CIF file:
```
data_GdThCuTc
_chemical_formula_sum 'Gd4 Th4 Cu4 Tc4'
_symmetry_space_group_name_H-M 'F -4 3 m'
_symmetry_Int_Tables_number 216
_symmetry_space_group_name_Hall 'F -4 2 3'
_cell_length_a 7.047
_cell_length_b 7.047
_cell_length_c 7.047
_cell_angle_alpha 90.00
_cell_angle_beta 90.00
_cell_angle_gamma 90.00
loop_
_atom_site_label
_atom_site_type_symbol
_atom_site_fract_x
_atom_site_fract_y
_atom_site_fract_z
Gd1 Gd 0.000 0.000 0.000
Th1 Th 0.000 0.000 0.500
Cu1 Cu 0.250 0.250 0.250
Tc1 Tc 0.250 0.250 0.750
```